Material: Ta4CuSiC2
Method: DFT, PBE-GGA
State: relaxed

Space-group type: No. 187

Cell lengths 3.169, 3.169, 12.810 Å; angles 90.00, 90.00, 120.00 degrees
Element x y z (fractional)
Ta (0.667, 0.333, 0.840)
C (0.333, 0.667, 0.748)
C (0.333, 0.667, 0.252)
Ta (0.000, 0.000, 0.652)
Cu (0.000, 0.000, 0.000)
Ta (0.667, 0.333, 0.160)
Ta (0.000, 0.000, 0.348)
Si (0.667, 0.333, 0.500)

---

Material: HfTlCu3S4
Method: DFT, PBE-GGA
State: relaxed

Space-group type: No. 215

Cell lengths 5.977, 5.977, 5.977 Å; angles 90.00, 90.00, 90.00 degrees
Element x y z (fractional)
Hf (0.500, 0.500, 0.500)
S (0.727, 0.273, 0.727)
S (0.727, 0.727, 0.273)
Cu (0.500, 0.000, 0.500)
Tl (0.000, 0.000, 0.000)
Cu (0.500, 0.500, 0.000)
Cu (0.000, 0.500, 0.500)
S (0.273, 0.273, 0.273)
S (0.273, 0.727, 0.727)

---

Material: PmBTe
Method: DFT, PBE-GGA
State: relaxed

Space-group type: No. 216

Cell lengths 4.613, 4.613, 4.613 Å; angles 60.00, 60.00, 60.00 degrees
Element x y z (fractional)
B (0.000, 0.000, 0.000)
Te (0.750, 0.750, 0.750)
Pm (0.250, 0.250, 0.250)

---

Material: RbSmHgTe3
Method: DFT, PBE-GGA
State: relaxed

Space-group type: No. 12

Cell lengths 10.515, 10.515, 9.838 Å; angles 101.31, 101.31, 24.92 degrees
Element x y z (fractional)
Sm (0.173, 0.173, 0.075)
Te (0.000, 0.000, 0.000)
Te (0.500, 0.500, 0.500)
Te (0.328, 0.328, 0.707)
Te (0.673, 0.673, 0.860)
Te (0.327, 0.327, 0.140)
Sm (0.827, 0.827, 0.925)
Hg (0.528, 0.528, 0.220)
Te (0.672, 0.672, 0.293)
Hg (0.472, 0.472, 0.780)
Rb (0.142, 0.142, 0.568)
Rb (0.858, 0.858, 0.432)

---

Material: Si3Tc5
Method: DFT, PBE-GGA
State: relaxed

Space-group type: No. 140

Cell lengths 7.113, 7.113, 7.113 Å; angles 96.72, 96.72, 140.00 degrees
Element x y z (fractional)
Tc (0.750, 0.250, 0.500)
Tc (0.075, 0.778, 0.853)
Tc (0.925, 0.222, 0.147)
Si (0.250, 0.250, 0.000)
Tc (0.778, 0.925, 0.703)
Si (0.170, 0.330, 0.500)
Tc (0.222, 0.075, 0.297)
Si (0.670, 0.170, 0.840)
Tc (0.250, 0.750, 0.500)
Tc (0.425, 0.278, 0.703)
Tc (0.575, 0.722, 0.297)
Si (0.830, 0.670, 0.500)
Tc (0.722, 0.425, 0.147)
Si (0.330, 0.830, 0.160)
Tc (0.278, 0.575, 0.853)
Si (0.750, 0.750, 0.000)

---

Material: Zr2Cu2Ge3
Method: DFT, PBE-GGA
State: relaxed

Space-group type: No. 160

Cell lengths 9.017, 9.017, 9.017 Å; angles 26.14, 26.14, 26.14 degrees
Element x y z (fractional)
Zr (0.245, 0.245, 0.245)
Ge (0.857, 0.857, 0.857)
Zr (0.757, 0.757, 0.757)
Cu (0.004, 0.004, 0.004)
Ge (0.375, 0.375, 0.375)
Cu (0.500, 0.500, 0.500)
Ge (0.637, 0.637, 0.637)

---

It is found that the total DFT energy (no corrections) values, taken in the order of the records, are -9.752; -5.001; -4.647; -3.444; -8.910; -5.652 eV/atom.